(1)
DFT (PBE) results for a relaxed InSi2Pb crystal.

Values from the calculation:
- Calculated density: 6.9 g/cm³
- Energy relative to the lowest polymorph listed for this composition: 363 meV/atom
- SG: No. 123

abc: 4.705 4.703 4.104
angles: 90.00 90.00 90.00
Element x y z (fractional)
In 0.500 0.000 0.500
Pb 0.000 0.500 0.500
Si 0.000 0.000 0.000
Si 0.500 0.500 0.000



(2)
DFT (PBE) results for a relaxed In2SiPb2 crystal.

Values from the calculation:
- Calculated density: 8.0 g/cm³
- Energy relative to the lowest polymorph listed for this composition: 0 meV/atom
- SG: No. 127

abc: 7.081 7.081 5.592
angles: 90.00 90.00 90.00
Element x y z (fractional)
Pb 0.185 0.685 0.500
Pb 0.685 0.815 0.500
Pb 0.815 0.315 0.500
Pb 0.315 0.185 0.500
Si 0.000 0.000 0.000
Si 0.500 0.500 0.000
In 0.354 0.854 0.000
In 0.854 0.646 0.000
In 0.646 0.146 0.000
In 0.146 0.354 0.000



(3)
DFT (PBE) results for a relaxed TiInSi2Pb crystal.

Values from the calculation:
- Calculated total energy: -0.14366 Ha/atom
- Calculated density: 5.3 g/cm³
- SG: No. 123

abc: 5.013 5.300 5.013
angles: 90.00 90.00 90.00
Element x y z (fractional)
Pb 0.500 0.500 0.500
Si 0.000 0.000 0.500
Si 0.500 0.000 0.000
Ti 0.000 0.500 0.000
In 0.000 0.000 0.000



(4)
DFT (PBE) results for a relaxed TiIn2SiPb crystal.

Values from the calculation:
- Calculated total energy: -0.11906 Ha/atom
- Calculated density: 5.1 g/cm³
- SG: No. 123

abc: 5.600 5.308 5.600
angles: 90.00 90.00 90.00
Element x y z (fractional)
Pb 0.000 0.000 0.000
Si 0.500 0.500 0.500
Ti 0.000 0.500 0.000
In 0.000 0.000 0.500
In 0.500 0.000 0.000



(5)
DFT (PBE) results for a relaxed TlIn2SiPb crystal.

Values from the calculation:
- Calculated total energy: -0.09851 Ha/atom
- Calculated density: 6.0 g/cm³
- SG: No. 123

abc: 5.961 5.235 5.961
angles: 90.00 90.00 90.00
Element x y z (fractional)
Pb 0.000 0.000 0.000
Tl 0.500 0.500 0.500
Si 0.000 0.500 0.000
In 0.000 0.000 0.500
In 0.500 0.000 0.000



(6)
DFT (PBE) results for a relaxed YInSi2Pb crystal.

Values from the calculation:
- Calculated total energy: -0.14488 Ha/atom
- Calculated density: 4.6 g/cm³
- SG: No. 123

abc: 5.343 5.878 5.343
angles: 90.00 90.00 90.00
Element x y z (fractional)
Pb 0.000 0.500 0.000
Y 0.500 0.500 0.500
Si 0.000 0.000 0.500
Si 0.500 0.000 0.000
In 0.000 0.000 0.000



(7)
DFT (PBE) results for a relaxed ZnIn2SiPb crystal.

Values from the calculation:
- Calculated total energy: -0.08398 Ha/atom
- Calculated density: 4.6 g/cm³
- SG: No. 123

abc: 6.054 5.202 6.054
angles: 90.00 90.00 90.00
Element x y z (fractional)
Pb 0.000 0.000 0.000
Zn 0.500 0.500 0.500
Si 0.000 0.500 0.000
In 0.000 0.000 0.500
In 0.500 0.000 0.000



(8)
DFT (PBE) results for a relaxed ZrInSi2Pb crystal.

Values from the calculation:
- Calculated total energy: -0.14950 Ha/atom
- Calculated density: 4.9 g/cm³
- SG: No. 123

abc: 5.191 5.868 5.191
angles: 90.00 90.00 90.00
Element x y z (fractional)
Pb 0.500 0.500 0.500
Si 0.000 0.000 0.500
Si 0.500 0.000 0.000
Zr 0.000 0.500 0.000
In 0.000 0.000 0.000